1.
The following is a DFT calculation (PBE-GGA) of Ti4MoP2 after structural relaxation.

uncorrected energy = -57.0 eV per cell

Unit cell a=4.297 b=4.297 c=7.626 alpha=73.64 beta=73.64 gamma=60.00
Fractional positions:
1 P 0.390 0.390 0.829
2 P 0.610 0.610 0.171
3 Ti 0.278 0.278 0.167
4 Ti 0.119 0.119 0.642
5 Ti 0.722 0.722 0.833
6 Ti 0.881 0.881 0.358
7 Mo 0.500 0.500 0.500

2.
The following is a DFT calculation (PBE-GGA) of TcHg2As after structural relaxation.

uncorrected energy = -25.5 eV per cell

Unit cell a=7.951 b=7.951 c=6.232 alpha=50.37 beta=50.37 gamma=90.00
Last column: magnetic moment on the atom in μB.
Fractional positions:
1 Hg 0.375 0.375 0.750  0.00
2 Hg 0.625 0.125 0.250  0.00
3 Hg 0.875 0.875 0.750  0.00
4 Hg 0.125 0.625 0.250  0.00
5 Tc 0.000 0.000 0.000  2.00
6 Tc 0.750 0.250 0.500  1.99
7 As 0.500 0.500 0.000  0.01
8 As 0.250 0.750 0.500  0.01

3.
The following is a DFT calculation (PBE-GGA) of TbGdErIn after structural relaxation.

uncorrected energy = -26.6 eV per cell

Unit cell a=5.452 b=5.452 c=5.452 alpha=60.00 beta=60.00 gamma=60.00
Last column: magnetic moment on the atom in μB.
Fractional positions:
1 Er 0.250 0.250 0.250  0.34
2 Gd 0.500 0.500 0.500  7.30
3 Tb 0.000 0.000 0.000  0.24
4 In 0.750 0.750 0.750  -0.01

4.
The following is a DFT calculation (PBE-GGA) of NaCa2Sb after structural relaxation.

E_form (uncorrected) = -0.278 eV per atom
uncorrected energy = -21.1 eV per cell

Unit cell a=9.060 b=9.060 c=7.369 alpha=52.06 beta=52.06 gamma=90.00
Fractional positions:
1 Ca 0.375 0.329 0.750
2 Ca 0.671 0.125 0.250
3 Ca 0.875 0.921 0.750
4 Ca 0.079 0.625 0.250
5 Sb 0.750 0.250 0.500
6 Sb 0.000 0.000 0.000
7 Na 0.500 0.500 0.000
8 Na 0.250 0.750 0.500

5.
The following is a DFT calculation (PBE-GGA) of DyTmCS after structural relaxation.

E_form (uncorrected) = -1.307 eV per atom
uncorrected energy = -27.7 eV per cell

Unit cell a=3.686 b=3.686 c=6.653 alpha=73.92 beta=73.92 gamma=60.00
Fractional positions:
1 C 0.193 0.193 0.421
2 Tm 0.457 0.457 0.630
3 Dy 0.931 0.931 0.208
4 S 0.696 0.696 0.913

6.
The following is a DFT calculation (PBE-GGA) of ZrAl4W after structural relaxation.

uncorrected energy = -37.5 eV per cell

Unit cell a=5.156 b=5.156 c=5.156 alpha=60.00 beta=60.00 gamma=60.00
Fractional positions:
1 Al 0.375 0.375 0.875
2 Al 0.375 0.875 0.375
3 Al 0.375 0.375 0.375
4 Al 0.875 0.375 0.375
5 Zr 0.000 0.000 0.000
6 W 0.750 0.750 0.750

7.
The following is a DFT calculation (PBE-GGA) of Li2CrW after structural relaxation.

excess energy over the best structure of this formula in the dataset = 291 kJ/mol of formula units
uncorrected energy = -22.1 eV per cell

Unit cell a=4.132 b=4.132 c=4.132 alpha=60.00 beta=60.00 gamma=60.00
Fractional positions:
1 Li 0.250 0.250 0.250
2 Li 0.750 0.750 0.750
3 Cr 0.000 0.000 0.000
4 W 0.500 0.500 0.500

8.
The following is a DFT calculation (PBE-GGA) of LiCaAcY after structural relaxation.

uncorrected energy = -13.5 eV per cell

Unit cell a=5.860 b=5.860 c=5.860 alpha=60.00 beta=60.00 gamma=60.00
Fractional positions:
1 Y 0.250 0.250 0.250
2 Li 0.500 0.500 0.500
3 Ac 0.000 0.000 0.000
4 Ca 0.750 0.750 0.750

9.
The following is a DFT calculation (PBE-GGA) of BaNi2 after structural relaxation.

uncorrected energy = -25.8 eV per cell

Unit cell a=6.183 b=6.183 c=6.183 alpha=133.52 beta=133.52 gamma=67.84
Fractional positions:
1 Ba 0.250 0.250 0.000
2 Ba 0.750 0.750 0.000
3 Ni 0.322 0.178 0.500
4 Ni 0.678 0.822 0.500
5 Ni 0.822 0.322 0.144
6 Ni 0.178 0.678 0.856

10.
The following is a DFT calculation (PBE-GGA) of TlSnS2N after structural relaxation.

E_form (uncorrected) = 0.503 eV per atom
excess energy over the best structure of this formula in the dataset = 0 kJ/mol of formula units
uncorrected energy = -20.4 eV per cell

Unit cell a=5.182 b=5.182 c=4.215 alpha=90.00 beta=90.00 gamma=90.00
Last column: magnetic moment on the atom in μB.
Fractional positions:
1 Tl 0.500 0.500 0.500  0.02
2 N 0.000 0.000 0.500  0.88
3 Sn 0.000 0.000 0.000  -0.06
4 S 0.500 0.000 0.000  0.22
5 S 0.000 0.500 0.000  0.22

11.
The following is a DFT calculation (PBE-GGA) of Be2RuPb after structural relaxation.

excess energy over the best structure of this formula in the dataset = 153 kJ/mol of formula units
uncorrected energy = -18.5 eV per cell

Unit cell a=8.139 b=8.139 c=8.139 alpha=21.62 beta=21.62 gamma=21.62
Fractional positions:
1 Pb 0.750 0.750 0.750
2 Be 0.979 0.979 0.979
3 Be 0.521 0.521 0.521
4 Ru 0.250 0.250 0.250

12.
The following is a DFT calculation (PBE-GGA) of Bi3SbPb12 after structural relaxation.

E_form (uncorrected) = 0.018 eV per atom
uncorrected energy = -60.0 eV per cell

Unit cell a=5.081 b=5.081 c=19.535 alpha=90.00 beta=90.02 gamma=90.00
Fractional positions:
1 Pb 0.500 0.000 0.878
2 Pb 0.000 0.500 0.626
3 Pb 0.000 0.500 0.374
4 Pb 0.501 0.500 0.751
5 Pb 0.500 0.000 0.122
6 Pb 0.500 0.500 0.500
7 Pb 0.500 0.500 0.000
8 Pb 0.500 0.000 0.374
9 Pb 0.499 0.500 0.249
10 Pb 0.000 0.500 0.122
11 Pb 0.000 0.500 0.878
12 Pb 0.500 0.000 0.626
13 Bi 0.000 0.000 0.500
14 Bi 0.000 0.000 0.248
15 Bi 0.000 0.000 0.752
16 Sb 0.000 0.000 0.000

13.
The following is a DFT calculation (PBE-GGA) of Hg2MoW after structural relaxation.

excess energy over the best structure of this formula in the dataset = 137 kJ/mol of formula units
uncorrected energy = -21.2 eV per cell

Unit cell a=5.094 b=5.094 c=5.094 alpha=131.88 beta=131.88 gamma=70.42
Fractional positions:
1 W 0.750 0.250 0.500
2 Hg 0.000 0.000 0.000
3 Hg 0.250 0.750 0.500
4 Mo 0.500 0.500 0.000

14.
The following is a DFT calculation (PBE-GGA) of Na2ZnGe2 after structural relaxation.

excess energy over the best structure of this formula in the dataset = 150 kJ/mol of formula units
uncorrected energy = -12.0 eV per cell

Unit cell a=4.138 b=4.138 c=7.176 alpha=73.24 beta=73.24 gamma=90.00
Fractional positions:
1 Zn 0.000 0.000 0.000
2 Ge 0.411 0.411 0.178
3 Ge 0.589 0.589 0.822
4 Na 0.250 0.750 0.500
5 Na 0.750 0.250 0.500

15.
The following is a DFT calculation (PBE-GGA) of Sc4InAg2Au after structural relaxation.

uncorrected energy = -40.8 eV per cell

Unit cell a=4.895 b=4.895 c=8.463 alpha=73.19 beta=73.19 gamma=60.00
Fractional positions:
1 Sc 0.619 0.619 0.142
2 Sc 0.381 0.381 0.858
3 Sc 0.130 0.130 0.611
4 Sc 0.870 0.870 0.389
5 Au 0.500 0.500 0.500
6 Ag 0.744 0.744 0.768
7 Ag 0.256 0.256 0.232
8 In 0.000 0.000 0.000

16.
The following is a DFT calculation (PBE-GGA) of AlGaReMo after structural relaxation.

excess energy over the best structure of this formula in the dataset = 0 kJ/mol of formula units
uncorrected energy = -30.9 eV per cell

Unit cell a=3.166 b=3.166 c=5.975 alpha=90.00 beta=90.00 gamma=90.00
Fractional positions:
1 Re 0.500 0.500 0.111
2 Al 0.000 0.000 0.351
3 Ga 0.500 0.500 0.605
4 Mo 0.000 0.000 0.860

17.
The following is a DFT calculation (PBE-GGA) of Ho2ThCo6 after structural relaxation.

uncorrected energy = -61.1 eV per cell

Unit cell a=3.992 b=6.726 c=6.726 alpha=120.00 beta=90.00 gamma=90.00
Last column: magnetic moment on the atom in μB.
Fractional positions:
1 Co 0.500 0.335 0.335  0.67
2 Co 0.500 0.335 0.000  0.67
3 Co 0.500 0.000 0.665  0.67
4 Co 0.500 0.665 0.665  0.67
5 Co 0.500 0.665 0.000  0.67
6 Co 0.500 0.000 0.335  0.67
7 Ho 0.000 0.333 0.667  -0.14
8 Ho 0.000 0.667 0.333  -0.14
9 Th 0.000 0.000 0.000  -0.14

18.
The following is a DFT calculation (PBE-GGA) of LaSbTe2W after structural relaxation.

E_form (uncorrected) = 1.326 eV per atom
excess energy over the best structure of this formula in the dataset = 613 kJ/mol of formula units
uncorrected energy = -21.7 eV per cell

Unit cell a=6.034 b=6.034 c=6.101 alpha=90.00 beta=90.00 gamma=90.00
Last column: magnetic moment on the atom in μB.
Fractional positions:
1 Te 0.500 0.000 0.000  0.16
2 Te 0.000 0.500 0.000  0.16
3 Sb 0.000 0.000 0.500  0.29
4 W 0.500 0.500 0.500  -3.49
5 La 0.000 0.000 0.000  0.03

19.
The following is a DFT calculation (PBE-GGA) of LiPbO3 after structural relaxation.

E_form (uncorrected) = -0.445 eV per atom
uncorrected energy = -22.7 eV per cell

Unit cell a=3.805 b=3.805 c=3.805 alpha=90.00 beta=90.00 gamma=90.00
Last column: magnetic moment on the atom in μB.
Fractional positions:
1 O 0.000 0.500 0.000  0.98
2 O 0.000 0.000 0.500  0.71
3 O 0.500 0.000 0.000  0.78
4 Pb 0.500 0.500 0.500  0.12
5 Li 0.000 0.000 0.000  0.01

20.
The following is a DFT calculation (PBE-GGA) of V3AgPb after structural relaxation.

excess energy over the best structure of this formula in the dataset = 0 kJ/mol of formula units
uncorrected energy = -26.6 eV per cell

Unit cell a=4.930 b=4.930 c=4.930 alpha=90.00 beta=90.00 gamma=90.00
Last column: magnetic moment on the atom in μB.
Fractional positions:
1 V 0.000 0.000 0.500  2.47
2 V 0.500 0.000 0.000  2.47
3 V 0.000 0.500 0.000  2.47
4 Ag 0.000 0.000 0.000  0.18
5 Pb 0.500 0.500 0.500  -0.12

21.
The following is a DFT calculation (PBE-GGA) of Hf5Tc4Pt after structural relaxation.

uncorrected energy = -103.8 eV per cell

Unit cell a=3.285 b=3.285 c=16.270 alpha=90.00 beta=90.00 gamma=90.00
Fractional positions:
1 Pt 0.000 0.000 0.000
2 Hf 0.500 0.500 0.301
3 Hf 0.500 0.500 0.105
4 Hf 0.500 0.500 0.500
5 Hf 0.500 0.500 0.699
6 Hf 0.500 0.500 0.895
7 Tc 0.000 0.000 0.197
8 Tc 0.000 0.000 0.803
9 Tc 0.000 0.000 0.600
10 Tc 0.000 0.000 0.400

22.
The following is a DFT calculation (PBE-GGA) of Zr2MnCr after structural relaxation.

excess energy over the best structure of this formula in the dataset = 76 kJ/mol of formula units
uncorrected energy = -34.9 eV per cell

Unit cell a=5.302 b=5.302 c=5.302 alpha=135.24 beta=135.24 gamma=65.16
Last column: magnetic moment on the atom in μB.
Fractional positions:
1 Zr 0.250 0.750 0.500  -0.36
2 Zr 0.000 0.000 0.000  -0.32
3 Mn 0.750 0.250 0.500  2.96
4 Cr 0.500 0.500 0.000  2.70

23.
The following is a DFT calculation (PBE-GGA) of MgFeCl2 after structural relaxation.

E_form (uncorrected) = -0.195 eV per atom
excess energy over the best structure of this formula in the dataset = 125 kJ/mol of formula units
uncorrected energy = -14.5 eV per cell

Unit cell a=3.116 b=3.116 c=8.969 alpha=90.00 beta=90.00 gamma=90.00
Last column: magnetic moment on the atom in μB.
Fractional positions:
1 Fe 0.500 0.500 0.250  3.31
2 Mg 0.500 0.500 0.750  0.00
3 Cl 0.000 0.000 0.081  0.12
4 Cl 0.000 0.000 0.419  0.12

24.
The following is a DFT calculation (PBE-GGA) of K2LiMgRu after structural relaxation.

uncorrected energy = -10.3 eV per cell

Unit cell a=5.931 b=4.717 c=5.931 alpha=90.00 beta=90.00 gamma=90.00
Last column: magnetic moment on the atom in μB.
Fractional positions:
1 Ru 0.000 0.500 0.000  1.48
2 K 0.000 0.000 0.500  -0.01
3 K 0.500 0.000 0.000  -0.01
4 Mg 0.500 0.500 0.500  0.00
5 Li 0.000 0.000 0.000  -0.03

25.
The following is a DFT calculation (PBE-GGA) of LaAlGe3 after structural relaxation.

uncorrected energy = -17.6 eV per cell

Unit cell a=5.662 b=5.662 c=5.662 alpha=90.00 beta=90.00 gamma=90.00
Fractional positions:
1 Ge 0.000 0.000 0.500
2 Ge 0.000 0.500 0.000
3 Ge 0.500 0.000 0.000
4 La 0.000 0.000 0.000
5 Al 0.500 0.500 0.500

26.
The following is a DFT calculation (PBE-GGA) of KHS3 after structural relaxation.

excess energy over the best structure of this formula in the dataset = 0 kJ/mol of formula units
uncorrected energy = -38.1 eV per cell

Unit cell a=7.775 b=6.370 c=6.784 alpha=133.81 beta=90.05 gamma=89.92
Fractional positions:
1 S 0.838 0.035 0.311
2 S 0.426 0.470 0.189
3 S 0.116 0.601 0.748
4 S 0.338 0.867 0.337
5 S 0.926 0.431 0.458
6 S 0.616 0.300 0.899
7 K 0.542 0.713 0.791
8 K 0.042 0.189 0.856
9 H 0.957 0.850 0.088
10 H 0.457 0.051 0.559

27.
The following is a DFT calculation (PBE-GGA) of Rb2BaSb2 after structural relaxation.

E_form (uncorrected) = -0.465 eV per atom
excess energy over the best structure of this formula in the dataset = 12 kJ/mol of formula units
uncorrected energy = -14.4 eV per cell

Unit cell a=5.175 b=5.175 c=8.823 alpha=72.95 beta=72.95 gamma=90.00
Fractional positions:
1 Rb 0.750 0.250 0.500
2 Rb 0.250 0.750 0.500
3 Sb 0.589 0.589 0.822
4 Sb 0.411 0.411 0.178
5 Ba 0.000 0.000 0.000